[1]
Entry from Alexandria via LeMat-Bulk: a relaxed Tb2Pr3Ho6Sc crystal (PBE).

Summary:
Formation energy from the elements (eV/atom): 0.031
Crystal system: monoclinic

```
data_Tb2Pr3Ho6Sc
_chemical_formula_sum 'Tb4 Pr6 Ho12 Sc2'
_cell_length_a 6.1701
_cell_length_b 10.6846
_cell_length_c 11.7629
_cell_angle_alpha 90.00
_cell_angle_beta 100.05
_cell_angle_gamma 90.00
_space_group_name_H-M_alt 'C 1 2/m 1'
_space_group_IT_number 12
loop_
_space_group_symop_operation_xyz
'x,y,z'
'-x,-y,-z'
'-x,y,-z'
'x,-y,z'
'x+1/2,y+1/2,z'
'-x+1/2,-y+1/2,-z'
'-x+1/2,y+1/2,-z'
'x+1/2,-y+1/2,z'
loop_
_atom_site_label
_atom_site_fract_x
_atom_site_fract_y
_atom_site_fract_z
_atom_site_occupancy
Tb1 0.0000 0.1663 0.0000 1
Pr1 0.0000 0.0000 0.5000 1
Pr2 0.0000 0.3334 0.5000 1
Ho1 0.2460 0.3346 0.2435 1
Ho2 0.2499 0.0000 0.2437 1
Sc1 0.0000 0.5000 0.0000 1
```

***

[2]
Entry from Alexandria via LeMat-Bulk: a relaxed TbPrHo3Sc crystal (PBE).

Summary:
Formation energy from the elements (eV/atom): 0.041
Crystal system: orthorhombic

```
data_TbPrHo3Sc
_chemical_formula_sum 'Tb4 Pr4 Ho12 Sc4'
_cell_length_a 4.9775
_cell_length_b 14.9074
_cell_length_c 9.9824
_cell_angle_alpha 90.00
_cell_angle_beta 90.00
_cell_angle_gamma 90.00
_space_group_name_H-M_alt 'C m c m'
_space_group_IT_number 63
_space_group_name_Hall '-C 2c 2'
loop_
_atom_site_label
_atom_site_fract_x
_atom_site_fract_y
_atom_site_fract_z
_atom_site_occupancy
Tb1 0.0000 0.0000 0.0000 1
Pr1 0.0000 0.4976 0.2500 1
Ho1 0.0000 0.1703 0.2500 1
Ho2 0.0000 0.3315 0.9998 1
Sc1 0.0000 0.1687 0.7500 1
```

***

[3]
Entry from Alexandria via LeMat-Bulk: a relaxed Tb2PrHo2Sc2 crystal (PBE).

Summary:
Formation energy from the elements (eV/atom): 0.189
Crystal system: monoclinic

```
data_Tb2PrHo2Sc2
_chemical_formula_sum 'Tb4 Pr2 Ho4 Sc4'
_cell_length_a 17.3065
_cell_length_b 3.3994
_cell_length_c 8.1722
_cell_angle_alpha 90.00
_cell_angle_beta 116.12
_cell_angle_gamma 90.00
_space_group_name_H-M_alt 'C 1 2/m 1'
_space_group_IT_number 12
loop_
_space_group_symop_operation_xyz
'x,y,z'
'-x,-y,-z'
'-x,y,-z'
'x,-y,z'
'x+1/2,y+1/2,z'
'-x+1/2,-y+1/2,-z'
'-x+1/2,y+1/2,-z'
'x+1/2,-y+1/2,z'
loop_
_atom_site_label
_atom_site_fract_x
_atom_site_fract_y
_atom_site_fract_z
_atom_site_occupancy
Tb1 0.2125 0.0000 0.2895 1
Pr1 0.0000 0.0000 0.0000 1
Ho1 0.0733 0.5000 0.4188 1
Sc1 0.1504 0.5000 0.8900 1
```

***

[4]
Entry from Alexandria via LeMat-Bulk: a relaxed Tb6PrHo3Sc2 crystal (PBE).

Summary:
Formation energy from the elements (eV/atom): 0.036
Crystal system: monoclinic

```
data_Tb6PrHo3Sc2
_chemical_formula_sum 'Tb12 Pr2 Ho6 Sc4'
_cell_length_a 6.0894
_cell_length_b 10.5397
_cell_length_c 11.6486
_cell_angle_alpha 90.00
_cell_angle_beta 99.98
_cell_angle_gamma 90.00
_space_group_name_H-M_alt 'C 1 2/m 1'
_space_group_IT_number 12
loop_
_space_group_symop_operation_xyz
'x,y,z'
'-x,-y,-z'
'-x,y,-z'
'x,-y,z'
'x+1/2,y+1/2,z'
'-x+1/2,-y+1/2,-z'
'-x+1/2,y+1/2,-z'
'x+1/2,-y+1/2,z'
loop_
_atom_site_label
_atom_site_fract_x
_atom_site_fract_y
_atom_site_fract_z
_atom_site_occupancy
Tb1 0.2465 0.0000 0.2476 1
Tb2 0.2485 0.1682 0.7524 1
Pr1 0.0000 0.5000 0.0000 1
Ho1 0.0000 0.0000 0.5000 1
Ho2 0.0000 0.3328 0.5000 1
Sc1 0.0000 0.1667 0.0000 1
```

***

[5]
Entry from Alexandria via LeMat-Bulk: a relaxed Tb5PrHo2Sc crystal (PBE).

Summary:
Formation energy from the elements (eV/atom): 0.172
Crystal system: orthorhombic

```
data_Tb5PrHo2Sc
_chemical_formula_sum 'Tb20 Pr4 Ho8 Sc4'
_cell_length_a 5.5868
_cell_length_b 19.7923
_cell_length_c 10.3945
_cell_angle_alpha 90.00
_cell_angle_beta 90.00
_cell_angle_gamma 90.00
_space_group_name_H-M_alt 'C m c 21'
_space_group_IT_number 36
loop_
_space_group_symop_operation_xyz
'x,y,z'
'-x,-y,z+1/2'
'-x,y,z'
'x,-y,z+1/2'
'x+1/2,y+1/2,z'
'-x+1/2,-y+1/2,z+1/2'
'-x+1/2,y+1/2,z'
'x+1/2,-y+1/2,z+1/2'
loop_
_atom_site_label
_atom_site_fract_x
_atom_site_fract_y
_atom_site_fract_z
_atom_site_occupancy
Tb1 0.0000 0.0183 0.0000 1
Tb2 0.0000 0.2768 0.3023 1
Tb3 0.0000 0.2979 0.6865 1
Tb4 0.0000 0.3760 0.0009 1
Tb5 0.0000 0.4811 0.7202 1
Pr1 0.0000 0.4130 0.4343 1
Ho1 0.0000 0.1120 0.2950 1
Ho2 0.0000 0.1142 0.7155 1
Sc1 0.0000 0.1959 0.9952 1
```

***

[6]
Entry from Alexandria via LeMat-Bulk: a relaxed Tb2PrHo4Sc crystal (PBE).

Summary:
Formation energy from the elements (eV/atom): 0.436
Crystal system: monoclinic

```
data_Tb2PrHo4Sc
_chemical_formula_sum 'Tb8 Pr4 Ho16 Sc4'
_cell_length_a 13.4451
_cell_length_b 13.0952
_cell_length_c 6.7392
_cell_angle_alpha 90.00
_cell_angle_beta 120.08
_cell_angle_gamma 90.00
_space_group_name_H-M_alt 'C 1 2/c 1'
_space_group_IT_number 15
loop_
_space_group_symop_operation_xyz
'x,y,z'
'-x,-y,-z'
'-x,y,-z+1/2'
'x,-y,z+1/2'
'x+1/2,y+1/2,z'
'-x+1/2,-y+1/2,-z'
'-x+1/2,y+1/2,-z+1/2'
'x+1/2,-y+1/2,z+1/2'
loop_
_atom_site_label
_atom_site_fract_x
_atom_site_fract_y
_atom_site_fract_z
_atom_site_occupancy
Tb1 0.0000 0.0000 0.0000 1
Tb2 0.2500 0.2500 0.0000 1
Pr1 0.0000 0.5000 0.0000 1
Ho1 0.0000 0.2480 0.0061 1
Ho2 0.2482 0.0090 0.4994 1
Sc1 0.2500 0.2500 0.5000 1
```

***

[7]
Entry from Alexandria via LeMat-Bulk: a relaxed TbPr2HoSc crystal (PBE).

Summary:
Formation energy from the elements (eV/atom): 0.374
Crystal system: orthorhombic

```
data_TbPr2HoSc
_chemical_formula_sum 'Tb4 Pr8 Ho4 Sc4'
_cell_length_a 8.2519
_cell_length_b 11.4136
_cell_length_c 7.2351
_cell_angle_alpha 90.00
_cell_angle_beta 90.00
_cell_angle_gamma 90.00
_space_group_name_H-M_alt 'C m c m'
_space_group_IT_number 63
_space_group_name_Hall '-C 2c 2'
loop_
_atom_site_label
_atom_site_fract_x
_atom_site_fract_y
_atom_site_fract_z
_atom_site_occupancy
Tb1 0.0000 0.2294 0.2500 1
Pr1 0.1998 0.0000 0.0000 1
Ho1 0.0000 0.2403 0.7500 1
Sc1 0.0000 0.4915 0.2500 1
```

***

[8]
Entry from Alexandria via LeMat-Bulk: a relaxed TbPr2Ho4Sc crystal (PBE).

Summary:
Formation energy from the elements (eV/atom): 0.417
Crystal system: monoclinic

```
data_TbPr2Ho4Sc
_chemical_formula_sum 'Tb4 Pr8 Ho16 Sc4'
_cell_length_a 13.5538
_cell_length_b 13.1038
_cell_length_c 6.7595
_cell_angle_alpha 90.00
_cell_angle_beta 119.89
_cell_angle_gamma 90.00
_space_group_name_H-M_alt 'C 1 2/c 1'
_space_group_IT_number 15
loop_
_space_group_symop_operation_xyz
'x,y,z'
'-x,-y,-z'
'-x,y,-z+1/2'
'x,-y,z+1/2'
'x+1/2,y+1/2,z'
'-x+1/2,-y+1/2,-z'
'-x+1/2,y+1/2,-z+1/2'
'x+1/2,-y+1/2,z+1/2'
loop_
_atom_site_label
_atom_site_fract_x
_atom_site_fract_y
_atom_site_fract_z
_atom_site_occupancy
Tb1 0.2500 0.2500 0.0000 1
Pr1 0.0000 0.0000 0.0000 1
Pr2 0.2500 0.2500 0.5000 1
Ho1 0.0000 0.2648 0.5006 1
Ho2 0.2330 0.4991 0.9817 1
Sc1 0.0000 0.5000 0.0000 1
```

***

[9]
Entry from Alexandria via LeMat-Bulk: a relaxed Tb3PrHoSc crystal (PBE).

Summary:
Formation energy from the elements (eV/atom): 0.039
Crystal system: orthorhombic

```
data_Tb3PrHoSc
_chemical_formula_sum 'Tb12 Pr4 Ho4 Sc4'
_cell_length_a 4.9833
_cell_length_b 14.9631
_cell_length_c 10.0297
_cell_angle_alpha 90.00
_cell_angle_beta 90.00
_cell_angle_gamma 90.00
_space_group_name_H-M_alt 'C m c m'
_space_group_IT_number 63
_space_group_name_Hall '-C 2c 2'
loop_
_atom_site_label
_atom_site_fract_x
_atom_site_fract_y
_atom_site_fract_z
_atom_site_occupancy
Tb1 0.0000 0.1678 0.0004 1
Tb2 0.0000 0.3302 0.2500 1
Pr1 0.0000 0.0029 0.2500 1
Ho1 0.0000 0.5000 0.0000 1
Sc1 0.0000 0.3316 0.7500 1
```

***

[10]
Entry from Alexandria via LeMat-Bulk: a relaxed Tb3PrHo6Sc2 crystal (PBE).

Summary:
Formation energy from the elements (eV/atom): 0.036
Crystal system: monoclinic

```
data_Tb3PrHo6Sc2
_chemical_formula_sum 'Tb6 Pr2 Ho12 Sc4'
_cell_length_a 6.0711
_cell_length_b 10.5074
_cell_length_c 11.6340
_cell_angle_alpha 90.00
_cell_angle_beta 99.96
_cell_angle_gamma 90.00
_space_group_name_H-M_alt 'C 1 2/m 1'
_space_group_IT_number 12
loop_
_space_group_symop_operation_xyz
'x,y,z'
'-x,-y,-z'
'-x,y,-z'
'x,-y,z'
'x+1/2,y+1/2,z'
'-x+1/2,-y+1/2,-z'
'-x+1/2,y+1/2,-z'
'x+1/2,-y+1/2,z'
loop_
_atom_site_label
_atom_site_fract_x
_atom_site_fract_y
_atom_site_fract_z
_atom_site_occupancy
Tb1 0.0000 0.0000 0.0000 1
Tb2 0.0000 0.3328 0.0000 1
Pr1 0.0000 0.5000 0.5000 1
Ho1 0.2459 0.0000 0.7465 1
Ho2 0.2493 0.1681 0.2534 1
Sc1 0.0000 0.1667 0.5000 1
```

***

[11]
Entry from Alexandria via LeMat-Bulk: a relaxed TbPrHoSc crystal (PBE).

Summary:
Formation energy from the elements (eV/atom): 0.109
Crystal system: cubic

```
data_TbPrHoSc
_chemical_formula_sum 'Tb4 Pr4 Ho4 Sc4'
_cell_length_a 7.9096
_cell_length_b 7.9096
_cell_length_c 7.9096
_cell_angle_alpha 90.00
_cell_angle_beta 90.00
_cell_angle_gamma 90.00
_space_group_name_H-M_alt 'F -4 3 m'
_space_group_IT_number 216
_space_group_name_Hall 'F -4 2 3'
loop_
_atom_site_label
_atom_site_fract_x
_atom_site_fract_y
_atom_site_fract_z
_atom_site_occupancy
Tb1 0.0000 0.0000 0.0000 1
Pr1 0.0000 0.0000 0.5000 1
Ho1 0.2500 0.2500 0.2500 1
Sc1 0.2500 0.2500 0.7500 1
```

***

[12]
Entry from Alexandria via LeMat-Bulk: a relaxed TbPrHo2Sc crystal (PBE).

Summary:
Formation energy from the elements (eV/atom): 0.213
Crystal system: orthorhombic

```
data_TbPrHo2Sc
_chemical_formula_sum 'Tb1 Pr1 Ho2 Sc1'
_cell_length_a 3.5816
_cell_length_b 5.4426
_cell_length_c 8.3337
_cell_angle_alpha 90.00
_cell_angle_beta 90.00
_cell_angle_gamma 90.00
_space_group_name_H-M_alt 'P m m m'
_space_group_IT_number 47
loop_
_space_group_symop_operation_xyz
'x,y,z'
'-x,-y,-z'
'-x,-y,z'
'x,y,-z'
'x,-y,-z'
'-x,y,z'
'-x,y,-z'
'x,-y,z'
loop_
_atom_site_label
_atom_site_fract_x
_atom_site_fract_y
_atom_site_fract_z
_atom_site_occupancy
Tb1 0.0000 0.0000 0.0000 1
Pr1 0.5000 0.0000 0.5000 1
Ho1 0.5000 0.5000 0.1871 1
Sc1 0.0000 0.5000 0.5000 1
```

***

no.,theoretical density (Mg/m³)
1,7.72
2,7.53
3,6.76
4,7.57
5,7.57
6,7.53
7,6.34
8,7.31
9,7.35
10,7.71
11,6.84
12,6.90